# 1
First-principles (PBE) data for crystalline Pu4Te5N at its relaxed geometry, as listed in Alexandria via LeMat-Bulk.

Cell and atoms, written as POSCAR:
```
Pu4Te5N
1.0
4.0871 0.0000 0.0000
0.0000 8.1247 -0.3928
-2.0435 -1.4746 8.8641
Te N Pu
5 1 4
direct
0.1777 0.8137 0.3554
0.8223 0.1863 0.6446
0.1650 0.3467 0.3299
0.5000 0.5000 0.0000
0.8350 0.6533 0.6701
0.5000 0.0000 0.0000
0.9950 0.2079 0.9899
0.6427 0.0690 0.2855
0.3573 0.9310 0.7145
0.0050 0.7921 0.0101
```

Calculated values
DOS at the Fermi energy = 35.20 states/eV per cell
Space group = C2/m, No. 12
Energy relative to the elements, uncorrected = -0.795 eV per atom
Crystal system = monoclinic
Calculated total energy = -89.31 eV/f.u.

# 2
First-principles (PBE) data for crystalline Pu4Te2N at its relaxed geometry, as listed in Alexandria via LeMat-Bulk.

Cell and atoms, written as POSCAR:
```
Pu4Te2N
1.0
-1.9342 3.9997 -1.7140
-0.3431 -2.0100 -4.3034
-8.4498 -1.7430 -1.1470
N Pu Te
1 4 2
direct
0.0000 0.0000 0.0000
0.0000 0.5000 0.0000
0.8424 0.8424 0.3151
0.5000 0.0000 0.0000
0.1576 0.1576 0.6849
0.3568 0.3568 0.2864
0.6432 0.6432 0.7136
```

Calculated values
DOS at the Fermi energy = 31.78 states/eV per cell
Space group = I4/mmm, No. 139
Energy relative to the elements, uncorrected = -0.855 eV per atom
Crystal system = tetragonal
Calculated total energy = -77.92 eV/f.u.

Repeat the first record exactly.
First-principles (PBE) data for crystalline Pu4Te5N at its relaxed geometry, as listed in Alexandria via LeMat-Bulk.

Cell and atoms, written as POSCAR:
```
Pu4Te5N
1.0
4.0871 0.0000 0.0000
0.0000 8.1247 -0.3928
-2.0435 -1.4746 8.8641
Te N Pu
5 1 4
direct
0.1777 0.8137 0.3554
0.8223 0.1863 0.6446
0.1650 0.3467 0.3299
0.5000 0.5000 0.0000
0.8350 0.6533 0.6701
0.5000 0.0000 0.0000
0.9950 0.2079 0.9899
0.6427 0.0690 0.2855
0.3573 0.9310 0.7145
0.0050 0.7921 0.0101
```

Calculated values
DOS at the Fermi energy = 35.20 states/eV per cell
Space group = C2/m, No. 12
Energy relative to the elements, uncorrected = -0.795 eV per atom
Crystal system = monoclinic
Calculated total energy = -89.31 eV/f.u.

Which formula does entry 1 have?
Pu4Te5N

The lowest calculated total energy belongs to which entry?
Pu4Te5N